(1)
# CaMoAu

A relaxed CaMoAu crystal (PBE, the Alexandria database).

a b c (Å): 6.0445 6.0445 6.0445
angles (deg): 151.74 141.09 48.78
Closest atoms and distances in Å follow each position.
Fractional positions:
1 Mo 0.3708 0.3708 0.0000  4 Au 2.72, 2 Mo 2.95
2 Au 0.9679 0.9679 0.0000  4 Mo 2.72, 2 Au 2.95
3 Ca 0.6613 0.6613 0.0000  2 Ca 2.95, 1 Mo 3.20, 4 Au 3.28

Summary:
D(E_F) (states/eV/cell): 3.284
Excess energy over the best structure of this formula in the dataset (eV/atom): 0.0798
Formation enthalpy at 0 K (kJ/mol of atoms): 39
Uncorrected energy (eV/atom): -4.97
Space-group type: Imm2


(2)
# CaMo2Au

A relaxed CaMo2Au crystal (PBE, the Alexandria database).

a b c (Å): 3.9040 3.9040 11.1394
angles (deg): 79.91 79.91 90.00
Closest atoms and distances in Å follow each position.
Fractional positions:
1 Mo 0.6785 0.1250 0.2500  2 Mo 2.48
2 Mo 0.0715 0.6250 0.2500  2 Mo 2.48
3 Mo 0.3750 0.3215 0.7500  2 Mo 2.48
4 Mo 0.8750 0.9285 0.7500  2 Mo 2.48
5 Au 0.0000 0.0000 0.0000  4 Ca 2.76, 4 Mo 2.97
6 Au 0.7500 0.2500 0.5000  4 Ca 2.76, 4 Mo 2.97
7 Ca 0.5000 0.5000 0.0000  4 Au 2.76
8 Ca 0.2500 0.7500 0.5000  4 Au 2.76

Summary:
D(E_F) (states/eV/cell): 6.615
Excess energy over the best structure of this formula in the dataset (eV/atom): 0.4311
Formation enthalpy at 0 K (kJ/mol of atoms): 57
Uncorrected energy (eV/atom): -6.15
Space-group type: I-42d


(3)
# CaMoAu2

A relaxed CaMoAu2 crystal (PBE, the Alexandria database).

a b c (Å): 9.6458 9.6458 9.6458
angles (deg): 18.36 18.36 18.36
Closest atoms and distances in Å follow each position.
Fractional positions:
1 Mo 0.7500 0.7500 0.7500  6 Au 2.86, 6 Mo 3.08
2 Au 0.0047 0.0047 0.0047  3 Mo 2.86, 3 Ca 3.07, 6 Au 3.08
3 Au 0.4953 0.4953 0.4953  3 Mo 2.86, 3 Ca 3.07, 6 Au 3.08
4 Ca 0.2500 0.2500 0.2500  6 Au 3.07, 6 Ca 3.08

Summary:
D(E_F) (states/eV/cell): 4.779
Excess energy over the best structure of this formula in the dataset (eV/atom): 0.3120
Formation enthalpy at 0 K (kJ/mol of atoms): 30
Uncorrected energy (eV/atom): -4.54
Space-group type: R-3m


(4)
# CaMo2Au

A relaxed CaMo2Au crystal (PBE, the Alexandria database).

a b c (Å): 5.5356 5.5356 5.5356
angles (deg): 144.60 125.83 66.39
Closest atoms and distances in Å follow each position.
Fractional positions:
1 Mo 0.9649 0.9649 0.0000  2 Mo 2.42
2 Mo 0.7769 0.2769 0.5000  2 Mo 2.42
3 Au 0.5153 0.5153 0.0000  6 Mo 2.95-3.07, 4 Ca 3.03-3.29
4 Ca 0.2429 0.7429 0.5000  4 Au 3.03-3.29, 8 Mo 3.05-3.25, 2 Ca 3.37

Summary:
D(E_F) (states/eV/cell): 2.925
Excess energy over the best structure of this formula in the dataset (eV/atom): 0.2111
Formation enthalpy at 0 K (kJ/mol of atoms): 36
Uncorrected energy (eV/atom): -6.37
Space-group type: Imm2


(5)
# CaMo2Au

A relaxed CaMo2Au crystal (PBE, the Alexandria database).

a b c (Å): 2.9243 2.9243 9.3703
angles (deg): 90.00 90.00 109.40
Closest atoms and distances in Å follow each position.
Fractional positions:
1 Mo 0.0000 0.0000 0.0292  2 Mo 2.57
2 Mo 0.5000 0.5000 0.2358  2 Mo 2.57
3 Au 0.0000 0.0000 0.4850  2 Mo 2.88, 4 Au 2.92, 2 Ca 3.00
4 Ca 0.5000 0.5000 0.7500  4 Ca 2.92, 2 Au 3.00, 2 Mo 3.11

Summary:
D(E_F) (states/eV/cell): 2.461
Excess energy over the best structure of this formula in the dataset (eV/atom): 0.1415
Formation enthalpy at 0 K (kJ/mol of atoms): 29
Uncorrected energy (eV/atom): -6.43
Space-group type: Cmm2


(6)
# CaMoAu2

A relaxed CaMoAu2 crystal (PBE, the Alexandria database).

a b c (Å): 4.8683 4.8683 4.8683
angles (deg): 60.00 60.00 60.00
Closest atoms and distances in Å follow each position.
Fractional positions:
1 Mo 0.5000 0.5000 0.5000  8 Au 2.98
2 Au 0.2500 0.2500 0.2500  4 Mo 2.98, 4 Ca 2.98
3 Au 0.7500 0.7500 0.7500  4 Ca 2.98, 4 Mo 2.98
4 Ca 0.0000 0.0000 0.0000  8 Au 2.98

Summary:
D(E_F) (states/eV/cell): 2.597
Excess energy over the best structure of this formula in the dataset (eV/atom): 0.0998
Formation enthalpy at 0 K (kJ/mol of atoms): 10
Uncorrected energy (eV/atom): -4.75
Space-group type: Fm-3m


(7)
# CaMo2Au

A relaxed CaMo2Au crystal (PBE, the Alexandria database).

a b c (Å): 5.8087 5.8087 2.7363
angles (deg): 81.63 81.63 123.25
Closest atoms and distances in Å follow each position.
Fractional positions:
1 Mo 0.0000 0.0000 0.0000  4 Mo 2.74-2.76, 2 Ca 3.02, 2 Au 3.02
2 Mo 0.5000 0.5000 0.0000  4 Mo 2.74-2.76, 2 Au 3.02, 2 Ca 3.02
3 Au 0.5000 0.0000 0.5000  2 Au 2.74, 2 Ca 2.76, 4 Mo 3.02
4 Ca 0.0000 0.5000 0.5000  2 Ca 2.74, 2 Au 2.76, 4 Mo 3.02

Summary:
D(E_F) (states/eV/cell): 3.570
Excess energy over the best structure of this formula in the dataset (eV/atom): 0.3154
Formation enthalpy at 0 K (kJ/mol of atoms): 46
Uncorrected energy (eV/atom): -6.26
Space-group type: C2/m


(8)
# CaMo2Au

A relaxed CaMo2Au crystal (PBE, the Alexandria database).

a b c (Å): 4.9426 3.8908 3.8908
angles (deg): 90.00 90.00 90.00
Closest atoms and distances in Å follow each position.
Fractional positions:
1 Mo 0.0000 0.0000 0.0000  4 Mo 2.75
2 Mo 0.0000 0.5000 0.5000  4 Mo 2.75
3 Au 0.5000 0.5000 0.0000  4 Ca 2.75
4 Ca 0.5000 0.0000 0.5000  4 Au 2.75

Summary:
D(E_F) (states/eV/cell): 2.964
Excess energy over the best structure of this formula in the dataset (eV/atom): 0.2600
Formation enthalpy at 0 K (kJ/mol of atoms): 40
Uncorrected energy (eV/atom): -6.32
Space-group type: P4/mmm


(9)
# CaMoAu

A relaxed CaMoAu crystal (PBE, the Alexandria database).

a b c (Å): 7.2929 7.2929 2.8969
angles (deg): 78.54 78.54 22.91
Closest atoms and distances in Å follow each position.
Fractional positions:
1 Mo 0.6563 0.6563 0.3437  4 Mo 2.90, 4 Au 2.91, 4 Ca 3.23
2 Au 0.0087 0.0087 0.9913  4 Au 2.90, 4 Mo 2.91, 4 Ca 3.18
3 Ca 0.3350 0.3350 0.6650  4 Ca 2.90, 4 Au 3.18, 4 Mo 3.23

Summary:
D(E_F) (states/eV/cell): 3.134
Excess energy over the best structure of this formula in the dataset (eV/atom): 0.0000
Formation enthalpy at 0 K (kJ/mol of atoms): 31
Uncorrected energy (eV/atom): -5.05
Space-group type: I4mm


(10)
# CaMo2Au

A relaxed CaMo2Au crystal (PBE, the Alexandria database).

a b c (Å): 4.6984 4.6984 4.6984
angles (deg): 60.00 60.00 60.00
Closest atoms and distances in Å follow each position.
Fractional positions:
1 Mo 0.0000 0.0000 0.0000  4 Ca 2.88, 4 Mo 2.88
2 Mo 0.2500 0.2500 0.2500  4 Mo 2.88, 4 Au 2.88
3 Au 0.5000 0.5000 0.5000  4 Mo 2.88, 4 Ca 2.88
4 Ca 0.7500 0.7500 0.7500  4 Au 2.88, 4 Mo 2.88

Summary:
D(E_F) (states/eV/cell): 3.680
Excess energy over the best structure of this formula in the dataset (eV/atom): 0.2832
Formation enthalpy at 0 K (kJ/mol of atoms): 43
Uncorrected energy (eV/atom): -6.29
Space-group type: F-43m